i | HfAgAs2Se after structural relaxation. Source: Alexandria via LeMat-Bulk, functional GGA-PBE.

abc: 4.877 4.877 5.000
angles: 90.00 90.00 90.00
Space group P4/mmm (No. 123)
Inequivalent atoms, fractional coordinates:
Hf 0.000 0.000 0.000 x1
Ag 0.500 0.500 0.500 x1
As 0.000 0.500 0.500 x2
Se 0.500 0.500 0.000 x1

Computed properties:
magnetic moment = 0.000 μB/f.u.
N(E_F) = 0.84 states/eV/atom

***

ii | HfAgAs2Se after structural relaxation. Source: Alexandria via LeMat-Bulk, functional GGA-PBE.

abc: 5.170 5.170 5.137
angles: 90.00 90.00 90.00
Space group P4/mmm (No. 123)
Inequivalent atoms, fractional coordinates:
Hf 0.000 0.000 0.000 x1
Ag 0.500 0.500 0.500 x1
As 0.000 0.500 0.000 x2
Se 0.000 0.000 0.500 x1

Computed properties:
magnetic moment = 0.000 μB/f.u.
N(E_F) = 0.93 states/eV/atom

***

ii comes first in stability; the runner-up is 56.2 kJ/mol of atoms higher.

***

i | HfAgAsSe2 after structural relaxation. Source: Alexandria via LeMat-Bulk, functional GGA-PBE.

abc: 4.942 4.942 4.929
angles: 90.00 90.00 90.00
Space group P4/mmm (No. 123)
Inequivalent atoms, fractional coordinates:
Hf 0.000 0.000 0.000 x1
Ag 0.500 0.500 0.500 x1
As 0.500 0.500 0.000 x1
Se 0.000 0.500 0.500 x2

Computed properties:
magnetic moment = 0.000 μB/f.u.
N(E_F) = 0.86 states/eV/atom

***

ii | HfAgAsSe2 after structural relaxation. Source: Alexandria via LeMat-Bulk, functional GGA-PBE.

abc: 5.155 5.155 5.198
angles: 90.00 90.00 90.00
Space group P4/mmm (No. 123)
Inequivalent atoms, fractional coordinates:
Hf 0.000 0.000 0.000 x1
Ag 0.500 0.500 0.500 x1
As 0.000 0.000 0.500 x1
Se 0.000 0.500 0.000 x2

Computed properties:
magnetic moment = 0.000 μB/f.u.
N(E_F) = 1.03 states/eV/atom

***

ii comes first in stability; the runner-up is 67.2 kJ/mol of atoms higher.

***

i | Ag2HgAs2 after structural relaxation. Source: Alexandria via LeMat-Bulk, functional GGA-PBE.

abc: 3.886 3.886 14.074
angles: 90.00 90.00 90.00
Space group I4/mmm (No. 139)
Inequivalent atoms, fractional coordinates:
Ag 0.000 0.000 0.099 x4
Hg 0.000 0.000 0.500 x2
As 0.000 0.500 0.250 x4

Computed properties:
magnetic moment = 0.000 μB/f.u.
N(E_F) = 0.34 states/eV/atom

***

ii | Ag2HgAs2 after structural relaxation. Source: Alexandria via LeMat-Bulk, functional GGA-PBE.

abc: 8.557 8.557 2.836
angles: 90.00 90.00 90.00
Space group P4/mbm (No. 127)
Inequivalent atoms, fractional coordinates:
Ag 0.156 0.344 0.000 x4
Hg 0.000 0.000 0.000 x2
As 0.140 0.640 0.500 x4

Computed properties:
magnetic moment = 0.000 μB/f.u.
N(E_F) = 0.30 states/eV/atom

***

ii comes first in stability; the runner-up is 1.2 kJ/mol of atoms higher.

***

i | Ag3HgAs after structural relaxation. Source: Alexandria via LeMat-Bulk, functional GGA-PBE.

abc: 5.167 5.167 5.167
angles: 90.00 90.00 90.00
Space group Pm-3m (No. 221)
Inequivalent atoms, fractional coordinates:
Ag 0.000 0.000 0.500 x3
Hg 0.000 0.000 0.000 x1
As 0.500 0.500 0.500 x1

Computed properties:
magnetic moment = 0.000 μB/f.u.
N(E_F) = 0.32 states/eV/atom

***

ii | Ag3HgAs after structural relaxation. Source: Alexandria via LeMat-Bulk, functional GGA-PBE.

abc: 5.036 5.036 5.036
angles: 90.00 90.00 90.00
Space group Pm-3m (No. 221)
Inequivalent atoms, fractional coordinates:
Ag 0.000 0.000 0.500 x3
Hg 0.500 0.500 0.500 x1
As 0.000 0.000 0.000 x1

Computed properties:
magnetic moment = 0.000 μB/f.u.
N(E_F) = 0.00 states/eV/atom

***

ii comes first in stability; the runner-up is 66.1 kJ/mol of atoms higher.

***

i | AgHg2As2 after structural relaxation. Source: Alexandria via LeMat-Bulk, functional GGA-PBE.

abc: 3.975 3.975 16.361
angles: 90.00 90.00 90.00
Space group I4/mmm (No. 139)
Inequivalent atoms, fractional coordinates:
Ag 0.000 0.000 0.000 x2
Hg 0.000 0.500 0.250 x4
As 0.000 0.000 0.429 x4

Computed properties:
magnetic moment = 0.000 μB/f.u.
N(E_F) = 0.37 states/eV/atom

***

ii | AgHg2As2 after structural relaxation. Source: Alexandria via LeMat-Bulk, functional GGA-PBE.

abc: 7.548 7.548 4.165
angles: 90.00 90.00 90.00
Space group P4/mbm (No. 127)
Inequivalent atoms, fractional coordinates:
Ag 0.000 0.000 0.000 x2
Hg 0.173 0.327 0.000 x4
As 0.117 0.617 0.500 x4

Computed properties:
magnetic moment = 0.000 μB/f.u.
N(E_F) = 0.49 states/eV/atom

***

i comes first in stability; the runner-up is 2.7 kJ/mol of atoms higher.

***

i | AgHg2As2 after structural relaxation. Source: Alexandria via LeMat-Bulk, functional GGA-PBE.

abc: 7.431 7.431 4.160
angles: 90.00 90.00 90.00
Space group P4/mbm (No. 127)
Inequivalent atoms, fractional coordinates:
Ag 0.000 0.000 0.000 x2
Hg 0.139 0.361 0.500 x4
As 0.185 0.685 0.000 x4

Computed properties:
magnetic moment = 0.000 μB/f.u.
N(E_F) = 0.47 states/eV/atom

***

ii | AgHg2As2 after structural relaxation. Source: Alexandria via LeMat-Bulk, functional GGA-PBE.

abc: 3.655 3.655 17.569
angles: 90.00 90.00 90.00
Space group I4/mmm (No. 139)
Inequivalent atoms, fractional coordinates:
Ag 0.000 0.000 0.000 x2
Hg 0.000 0.000 0.407 x4
As 0.000 0.500 0.250 x4

Computed properties:
magnetic moment = 0.000 μB/f.u.
N(E_F) = 0.23 states/eV/atom

***

ii comes first in stability; the runner-up is 2.8 kJ/mol of atoms higher.